First-principles (GGA-PBE) data for Er8CdAg2 after structural relaxation, as listed in the Alexandria database.

The space group is C2/m (No. 12) and the conventional cell measures 8.601, 14.221 and 5.395 Å, with angles of 90.00, 109.71 and 90.00 degrees. The distinct sites, in fractional coordinates, are Er at (0.000, 0.224, 0.000), Er at (0.107, 0.500, 0.803), Er at (0.212, 0.117, 0.607), Cd at (0.000, 0.000, 0.000) and Ag at (0.000, 0.303, 0.500).

As for the density: 8.91 Mg/m³. The calculation puts the energy of formation from the pure elements at -0.02 eV/atom. As for the excess energy over the best structure of this formula in the dataset: 116 kJ/mol of formula units. For the calculated total energy, the calculation gives -43.373 eV per formula unit.